Model A:
Computed, not measured: an optimized crystal structure of Na3TaTl at the PBE level of DFT.

Lattice parameters (Å, degrees): 5.942 5.942 5.942 90.00 90.00 90.00
Space group Pm-3m (No. 221)
One atom of each set of equivalent atoms:
Na 0.000 0.000 0.500 [3 per cell]
Ta 0.000 0.000 0.000 [1 per cell]
Tl 0.500 0.500 0.500 [1 per cell]

Calculated values
Crystal system: cubic

=====

Model B:
Computed, not measured: an optimized crystal structure of Na3TaTl at the PBE level of DFT.

Lattice parameters (Å, degrees): 5.610 5.610 5.610 90.00 90.00 90.00
Space group Pm-3m (No. 221)
One atom of each set of equivalent atoms:
Na 0.000 0.000 0.500 [3 per cell]
Ta 0.500 0.500 0.500 [1 per cell]
Tl 0.000 0.000 0.000 [1 per cell]

Calculated values
Crystal system: cubic

=====

Stability ranking, top and bottom: model B is the most stable and model A is the least stable.

=====

Model A:
Computed, not measured: an optimized crystal structure of NaTaV2 at the PBE level of DFT.

Lattice parameters (Å, degrees): 6.428 6.428 6.428 90.00 90.00 90.00
Space group Fm-3m (No. 225)
One atom of each set of equivalent atoms:
Na 0.000 0.000 0.000 [4 per cell]
Ta 0.000 0.000 0.500 [4 per cell]
V 0.250 0.250 0.250 [8 per cell]

Calculated values
Crystal system: cubic

=====

Model B:
Computed, not measured: an optimized crystal structure of NaTaV2 at the PBE level of DFT.

Lattice parameters (Å, degrees): 3.847 3.847 18.807 90.00 90.00 90.00
Space group I-42d (No. 122)
One atom of each set of equivalent atoms:
Na 0.000 0.000 0.000 [4 per cell]
Ta 0.000 0.000 0.500 [4 per cell]
V 0.219 0.250 0.625 [8 per cell]

Calculated values
Crystal system: tetragonal

=====

Stability ranking, top and bottom: model A is the most stable and model B is the least stable.

=====

Model A:
Computed, not measured: an optimized crystal structure of NaTaW2 at the PBE level of DFT.

Lattice parameters (Å, degrees): 7.375 7.375 5.490 90.00 90.00 90.00
Space group I-42d (No. 122)
One atom of each set of equivalent atoms:
Na 0.000 0.000 0.000 [4 per cell]
Ta 0.000 0.000 0.500 [4 per cell]
W 0.246 0.250 0.625 [8 per cell]

Calculated values
Crystal system: tetragonal

=====

Model B:
Computed, not measured: an optimized crystal structure of NaTaW2 at the PBE level of DFT.

Lattice parameters (Å, degrees): 6.529 6.529 6.529 90.00 90.00 90.00
Space group Fm-3m (No. 225)
One atom of each set of equivalent atoms:
Na 0.000 0.000 0.000 [4 per cell]
Ta 0.000 0.000 0.500 [4 per cell]
W 0.250 0.250 0.250 [8 per cell]

Calculated values
Crystal system: cubic

=====

Stability ranking, top and bottom: model B is the most stable and model A is the least stable.

=====

Model A:
Computed, not measured: an optimized crystal structure of NaTa2W2 at the PBE level of DFT.

Lattice parameters (Å, degrees): 8.745 8.745 2.625 90.00 90.00 90.00
Space group P4/mbm (No. 127)
One atom of each set of equivalent atoms:
Na 0.000 0.000 0.000 [2 per cell]
Ta 0.145 0.355 0.000 [4 per cell]
W 0.148 0.648 0.500 [4 per cell]

Calculated values
Crystal system: tetragonal

=====

Model B:
Computed, not measured: an optimized crystal structure of NaTa2W2 at the PBE level of DFT.

Lattice parameters (Å, degrees): 3.984 3.984 13.415 90.00 90.00 90.00
Space group I4/mmm (No. 139)
One atom of each set of equivalent atoms:
Na 0.000 0.000 0.000 [2 per cell]
Ta 0.000 0.000 0.385 [4 per cell]
W 0.000 0.500 0.250 [4 per cell]

Calculated values
Crystal system: tetragonal

=====

Stability ranking, top and bottom: model A is the most stable and model B is the least stable.

=====

Model A:
Computed, not measured: an optimized crystal structure of NaTaW3 at the PBE level of DFT.

Lattice parameters (Å, degrees): 4.501 4.501 4.501 90.00 90.00 90.00
Space group Pm-3m (No. 221)
One atom of each set of equivalent atoms:
Na 0.000 0.000 0.000 [1 per cell]
Ta 0.500 0.500 0.500 [1 per cell]
W 0.000 0.000 0.500 [3 per cell]

Calculated values
Crystal system: cubic

=====

Model B:
Computed, not measured: an optimized crystal structure of NaTaW3 at the PBE level of DFT.

Lattice parameters (Å, degrees): 4.864 4.864 4.864 90.00 90.00 90.00
Space group Pm-3m (No. 221)
One atom of each set of equivalent atoms:
Na 0.000 0.000 0.000 [1 per cell]
Ta 0.500 0.500 0.500 [1 per cell]
W 0.000 0.500 0.500 [3 per cell]

Calculated values
Crystal system: cubic

=====

Stability ranking, top and bottom: model B is the most stable and model A is the least stable.

=====

Model A:
Computed, not measured: an optimized crystal structure of NaTaZn2 at the PBE level of DFT.

Lattice parameters (Å, degrees): 7.132 7.132 6.148 90.00 90.00 90.00
Space group I-42d (No. 122)
One atom of each set of equivalent atoms:
Na 0.000 0.000 0.000 [4 per cell]
Ta 0.000 0.000 0.500 [4 per cell]
Zn 0.243 0.250 0.625 [8 per cell]

Calculated values
Crystal system: tetragonal

=====

Model B:
Computed, not measured: an optimized crystal structure of NaTaZn2 at the PBE level of DFT.

Lattice parameters (Å, degrees): 6.530 6.530 6.530 90.00 90.00 90.00
Space group Fm-3m (No. 225)
One atom of each set of equivalent atoms:
Na 0.000 0.000 0.000 [4 per cell]
Ta 0.000 0.000 0.500 [4 per cell]
Zn 0.250 0.250 0.250 [8 per cell]

Calculated values
Crystal system: cubic

=====

Stability ranking, top and bottom: model B is the most stable and model A is the least stable.